[1]
First-principles (GGA-PBE) data for Pm2GaHgO6 after structural relaxation, as listed in the Alexandria database.

Energy (eV per atom): -6.25
Calculated volume (Å³/atom): 14.93
Magnetization (μB/f.u.): 0.00
Uncorrected formation energy (eV per atom): -1.989
DOS(E_F) (states/eV/cell): 4.47
Symmetry: P4mm, No. 99

Unit cell a=5.3154 b=5.2990 c=5.2990 alpha=90.00 beta=90.00 gamma=90.00
Last column: nearest neighbours and their distance in Å.
Fractional positions:
Pm  0.0052  0.5000  0.0000  4 O 2.34
Pm  0.0052  0.0000  0.5000  4 O 2.34
Ga  0.5812  0.0000  0.0000  5 O 1.86-1.96
Hg  0.5280  0.5000  0.5000  5 O 2.14-2.29
O  0.7426  0.2352  0.2352  1 Ga 1.96
O  0.7426  0.2352  0.7648  1 Ga 1.96
O  0.1263  0.5000  0.5000  1 Hg 2.14
O  0.2304  0.0000  0.0000  1 Ga 1.86
O  0.7426  0.7648  0.7648  1 Ga 1.96
O  0.7426  0.7648  0.2352  1 Ga 1.96


[2]
First-principles (GGA-PBE) data for Pm4GaHgO after structural relaxation, as listed in the Alexandria database.

Energy (eV per atom): -4.97
Calculated volume (Å³/atom): 26.04
Magnetization (μB/f.u.): 0.00
Uncorrected formation energy (eV per atom): -1.072
DOS(E_F) (states/eV/cell): 8.31
Symmetry: Cmcm, No. 63

Unit cell a=6.7568 b=6.7654 c=8.6621 alpha=90.00 beta=112.96 gamma=90.00
Last column: nearest neighbours and their distance in Å.
Fractional positions:
Pm  0.9242  0.2500  0.8484  1 O 2.66
Pm  0.4316  0.7500  0.8633  1 Ga 2.99, 1 O 3.02
Pm  0.0758  0.7500  0.1516  1 O 2.66
Pm  0.5684  0.2500  0.1367  1 Ga 2.99, 1 O 3.02
Pm  0.5000  0.5000  0.5000  2 O 2.39
Pm  0.0000  0.0000  0.5000  2 O 2.39
Pm  0.5000  0.0000  0.5000  2 O 2.39
Pm  0.0000  0.5000  0.5000  2 O 2.39
Ga  0.6190  0.7500  0.2380  5 Pm 2.99-3.18
Ga  0.3810  0.2500  0.7620  5 Pm 2.99-3.18
Hg  0.1150  0.2500  0.2300  5 Pm 3.04-3.22
Hg  0.8850  0.7500  0.7700  5 Pm 3.04-3.22
O  0.2423  0.7500  0.4847  5 Pm 2.39-2.66
O  0.7577  0.2500  0.5153  5 Pm 2.39-2.66


[3]
First-principles (GGA-PBE) data for Pr4GaHgO after structural relaxation, as listed in the Alexandria database.

Energy (eV per atom): -4.95
Calculated volume (Å³/atom): 27.41
Magnetization (μB/f.u.): 0.00
Uncorrected formation energy (eV per atom): -1.034
DOS(E_F) (states/eV/cell): 9.67
Symmetry: Cmcm, No. 63

Unit cell a=6.8928 b=6.9038 c=8.7708 alpha=90.00 beta=113.14 gamma=90.00
Last column: nearest neighbours and their distance in Å.
Fractional positions:
Pr  0.9244  0.2500  0.8488  1 O 2.68
Pr  0.4323  0.7500  0.8647  1 Ga 3.02, 1 O 3.08
Pr  0.0756  0.7500  0.1512  1 O 2.68
Pr  0.5677  0.2500  0.1353  1 Ga 3.02, 1 O 3.08
Pr  0.5000  0.5000  0.5000  2 O 2.44
Pr  0.0000  0.0000  0.5000  2 O 2.44
Pr  0.5000  0.0000  0.5000  2 O 2.44
Pr  0.0000  0.5000  0.5000  2 O 2.44
Ga  0.6194  0.7500  0.2388  5 Pr 3.02-3.22
Ga  0.3806  0.2500  0.7612  5 Pr 3.02-3.22
Hg  0.1155  0.2500  0.2311  5 Pr 3.08-3.26
Hg  0.8845  0.7500  0.7689  5 Pr 3.08-3.26
O  0.2417  0.7500  0.4833  5 Pr 2.44-2.68
O  0.7583  0.2500  0.5167  5 Pr 2.44-2.68


[4]
First-principles (GGA-PBE) data for GaHgPtO6 after structural relaxation, as listed in the Alexandria database.

Energy (eV per atom): -4.89
Calculated volume (Å³/atom): 12.48
Magnetization (μB/f.u.): 0.00
Uncorrected formation energy (eV per atom): -0.545
DOS(E_F) (states/eV/cell): 15.31
Symmetry: P-31c, No. 163

Unit cell a=5.2618 b=5.2618 c=9.3705 alpha=90.00 beta=90.00 gamma=120.00
Last column: nearest neighbours and their distance in Å.
Fractional positions:
Ga  0.6667  0.3333  0.2500  6 O 2.00
Ga  0.3333  0.6667  0.7500  6 O 2.00
Hg  0.0000  0.0000  0.0000  6 O 2.33
Hg  0.0000  0.0000  0.5000  6 O 2.33
Pt  0.3333  0.6667  0.2500  6 O 1.96
Pt  0.6667  0.3333  0.7500  6 O 1.96
O  0.6251  0.6299  0.1352  1 Pt 1.96, 1 Ga 2.00
O  0.0049  0.3749  0.1352  1 Pt 1.96, 1 Ga 2.00
O  0.3749  0.0049  0.6352  1 Pt 1.96, 1 Ga 2.00
O  0.9951  0.6251  0.8648  1 Pt 1.96, 1 Ga 2.00
O  0.3701  0.3749  0.3648  1 Pt 1.96, 1 Ga 2.00
O  0.0049  0.6299  0.3648  1 Pt 1.96, 1 Ga 2.00
O  0.6299  0.0049  0.8648  1 Pt 1.96, 1 Ga 2.00
O  0.6251  0.9951  0.3648  1 Pt 1.96, 1 Ga 2.00
O  0.9951  0.3701  0.6352  1 Pt 1.96, 1 Ga 2.00
O  0.3701  0.9951  0.1352  1 Pt 1.96, 1 Ga 2.00
O  0.6299  0.6251  0.6352  1 Pt 1.96, 1 Ga 2.00
O  0.3749  0.3701  0.8648  1 Pt 1.96, 1 Ga 2.00


[5]
First-principles (GGA-PBE) data for Ga2HgPtO after structural relaxation, as listed in the Alexandria database.

Energy (eV per atom): -3.53
Calculated volume (Å³/atom): 17.84
Magnetization (μB/f.u.): 0.00
Uncorrected formation energy (eV per atom): -0.061
DOS(E_F) (states/eV/cell): 1.61
Symmetry: P4/mmm, No. 123

Unit cell a=4.6075 b=4.2025 c=4.6075 alpha=90.00 beta=90.00 gamma=90.00
Last column: nearest neighbours and their distance in Å.
Fractional positions:
O  0.0000  0.0000  0.0000  2 Pt 2.10, 4 Ga 2.30
Ga  0.0000  0.0000  0.5000  2 O 2.30
Ga  0.5000  0.0000  0.0000  2 O 2.30
Hg  0.5000  0.5000  0.5000  8 Ga 3.12, 4 Pt 3.26
Pt  0.0000  0.5000  0.0000  2 O 2.10


[6]
First-principles (GGA-PBE) data for GaHgPt2O after structural relaxation, as listed in the Alexandria database.

Energy (eV per atom): -3.97
Calculated volume (Å³/atom): 17.47
Magnetization (μB/f.u.): 0.00
Uncorrected formation energy (eV per atom): 0.105
DOS(E_F) (states/eV/cell): 1.60
Symmetry: P4/mmm, No. 123

Unit cell a=4.9110 b=4.9110 c=3.6221 alpha=90.00 beta=90.00 gamma=90.00
Last column: nearest neighbours and their distance in Å.
Fractional positions:
O  0.0000  0.0000  0.5000  2 Ga 1.81
Ga  0.0000  0.0000  0.0000  2 O 1.81
Hg  0.5000  0.5000  0.5000  8 Pt 3.05
Pt  0.0000  0.5000  0.0000  2 Ga 2.46
Pt  0.5000  0.0000  0.0000  2 Ga 2.46


[7]
First-principles (GGA-PBE) data for PuGa2HgO8 after structural relaxation, as listed in the Alexandria database.

Energy (eV per atom): -6.51
Calculated volume (Å³/atom): 12.57
Magnetization (μB/f.u.): 1.17
Uncorrected formation energy (eV per atom): -1.478
DOS(E_F) (states/eV/cell): 2.46
Symmetry: P-1, No. 2

Unit cell a=4.8752 b=4.8803 c=6.3647 alpha=86.82 beta=93.20 gamma=92.77
Last column: nearest neighbours and their distance in Å.
Fractional positions:
Pu  0.0000  0.0000  0.0000  4 O 1.88-2.09
Ga  0.4821  0.5179  0.7450  6 O 1.97-2.16
Ga  0.5179  0.4821  0.2550  6 O 1.97-2.16
Hg  0.0000  0.0000  0.5000  4 O 2.11-2.18
O  0.2139  0.7879  0.1969  1 Pu 1.88
O  0.6896  0.6882  0.0000  2 Ga 2.06, 1 Pu 2.09
O  0.7984  0.2001  0.2368  1 Ga 2.00, 1 Hg 2.11, 1 Pu 2.15
O  0.7861  0.2121  0.8031  1 Pu 1.88
O  0.3104  0.3118  0.0000  2 Ga 2.06, 1 Pu 2.09
O  0.2016  0.7999  0.7632  1 Ga 2.00, 1 Hg 2.11, 1 Pu 2.15
O  0.6768  0.6755  0.5001  2 Ga 1.97, 1 Hg 2.18
O  0.3232  0.3245  0.4999  2 Ga 1.97, 1 Hg 2.18


[8]
First-principles (GGA-PBE) data for GaReHgO6 after structural relaxation, as listed in the Alexandria database.

Energy (eV per atom): -6.30
Calculated volume (Å³/atom): 12.91
Magnetization (μB/f.u.): 0.00
Uncorrected formation energy (eV per atom): -1.244
Symmetry: P312, No. 149

Unit cell a=5.2096 b=5.2094 c=4.9419 alpha=90.00 beta=90.01 gamma=60.00
Last column: nearest neighbours and their distance in Å.
Fractional positions:
Ga  0.6666  0.6667  0.5000  6 O 2.00
Re  0.3333  0.3333  0.5000  6 O 1.90
Hg  0.0000  0.0000  0.0000  6 O 2.42
O  0.0132  0.3702  0.2850  1 Re 1.90, 1 Ga 2.00
O  0.3702  0.0133  0.7150  1 Re 1.90, 1 Ga 2.00
O  0.6166  0.3701  0.7150  1 Re 1.90, 1 Ga 2.00
O  0.0133  0.6166  0.7150  1 Re 1.90, 1 Ga 2.00
O  0.3701  0.6167  0.2850  1 Re 1.90, 1 Ga 2.00
O  0.6165  0.0133  0.2850  1 Re 1.90, 1 Ga 2.00


[9]
First-principles (GGA-PBE) data for GaHg3Rh3O8 after structural relaxation, as listed in the Alexandria database.

Energy (eV per atom): -5.04
Calculated volume (Å³/atom): 15.04
Magnetization (μB/f.u.): 1.00
Uncorrected formation energy (eV per atom): -0.667
DOS(E_F) (states/eV/cell): 12.71
Symmetry: C2/m, No. 12

Unit cell a=6.1024 b=6.1051 c=7.8370 alpha=113.08 beta=90.04 gamma=119.96
Last column: nearest neighbours and their distance in Å.
Fractional positions:
Ga  0.0000  0.0000  0.5000  6 O 2.02
Hg  0.0000  0.0000  0.0000  6 O 3.04-3.05, 4 Hg 3.05
Hg  0.0000  0.5000  0.0000  6 O 3.03-3.05, 4 Hg 3.05
Hg  0.5000  0.5000  0.0000  6 O 3.03-3.06, 4 Hg 3.05
Rh  0.5000  0.0000  0.5000  6 O 2.03-2.04
Rh  0.5000  0.5000  0.5000  6 O 2.03-2.04
Rh  0.0000  0.5000  0.5000  6 O 2.03-2.04
O  0.2851  0.5704  0.3566  3 Rh 2.03
O  0.7149  0.4296  0.6434  3 Rh 2.03
O  0.7858  0.5721  0.3555  1 Ga 2.02, 2 Rh 2.04
O  0.2142  0.4279  0.6445  1 Ga 2.02, 2 Rh 2.04
O  0.7860  0.0682  0.3553  1 Ga 2.02, 2 Rh 2.04
O  0.2140  0.9318  0.6447  1 Ga 2.02, 2 Rh 2.04
O  0.2823  0.0684  0.3552  1 Ga 2.02, 2 Rh 2.04
O  0.7177  0.9316  0.6448  1 Ga 2.02, 2 Rh 2.04


[10]
First-principles (GGA-PBE) data for GaHgRuO6 after structural relaxation, as listed in the Alexandria database.

Energy (eV per atom): -5.50
Calculated volume (Å³/atom): 12.51
Magnetization (μB/f.u.): 0.02
Uncorrected formation energy (eV per atom): -0.796
DOS(E_F) (states/eV/cell): 4.52
Symmetry: P312, No. 149

Unit cell a=5.2118 b=5.2118 c=4.7870 alpha=90.00 beta=90.00 gamma=60.00
Last column: nearest neighbours and their distance in Å.
Fractional positions:
Ga  0.3333  0.3333  0.5000  6 O 1.99
Hg  0.0000  0.0000  0.0000  6 O 2.37
Ru  0.6666  0.6667  0.5000  6 O 1.91
O  0.9889  0.3824  0.2775  1 Ru 1.91, 1 Ga 1.99
O  0.3824  0.9889  0.7224  1 Ru 1.91, 1 Ga 1.99
O  0.6287  0.3824  0.7224  1 Ru 1.91, 1 Ga 1.99
O  0.9889  0.6287  0.7224  1 Ru 1.91, 1 Ga 1.99
O  0.3824  0.6287  0.2775  1 Ru 1.91, 1 Ga 1.99
O  0.6286  0.9889  0.2775  1 Ru 1.91, 1 Ga 1.99


- Among the records above, which one has the lowest uncorrected formation energy?
  Pm2GaHgO6